# 1
# TmVGe2O8, optimized geometry, DFT PBE+U
data_TmVGe2O8
_cell_length_a 6.7061
_cell_length_b 6.7061
_cell_length_c 6.2295
_cell_angle_alpha 90.00
_cell_angle_beta 90.00
_cell_angle_gamma 90.00
_space_group_name_H-M_alt 'I -4 m 2'
_space_group_IT_number 119
_space_group_name_Hall 'I -4 -2'
loop_
_atom_site_label
_atom_site_type_symbol
_atom_site_fract_x
_atom_site_fract_y
_atom_site_fract_z
_atom_site_occupancy
Tm1 Tm 0.0000 0.0000 0.0000 1
V1 V 0.0000 0.5000 0.2500 1
Ge1 Ge 0.0000 0.0000 0.5000 1
Ge2 Ge 0.0000 0.5000 0.7500 1
O1 O 0.0000 0.2004 0.3125 1
O2 O 0.0000 0.3239 0.9588 1
# - calculated volume (Å³ per atom) = 11.7
# - total moment (μB per atom) = 0.0000
# - final energy (eV per atom) = -6.97

# 2
# TmGe2WO8, optimized geometry, DFT PBE+U
data_TmGe2WO8
_cell_length_a 6.8280
_cell_length_b 6.8280
_cell_length_c 6.2466
_cell_angle_alpha 90.00
_cell_angle_beta 90.00
_cell_angle_gamma 90.00
_space_group_name_H-M_alt 'I -4 m 2'
_space_group_IT_number 119
_space_group_name_Hall 'I -4 -2'
loop_
_atom_site_label
_atom_site_type_symbol
_atom_site_fract_x
_atom_site_fract_y
_atom_site_fract_z
_atom_site_occupancy
Tm1 Tm 0.0000 0.0000 0.0000 1
Ge1 Ge 0.0000 0.0000 0.5000 1
Ge2 Ge 0.0000 0.5000 0.7500 1
W1 W 0.0000 0.5000 0.2500 1
O1 O 0.0000 0.1933 0.3124 1
O2 O 0.0000 0.3248 0.9582 1
# - DOS(E_F) (states/eV/f.u.) = 0.00
# - calculated volume (Å³ per atom) = 12.1
# - total moment (μB per atom) = 0.0833
# - final energy (eV per atom) = -7.16